Record 1
Zr5N5O2 meta-GGA SCAN single point on PBEsol structure; VASP energy = -20.02 eV/atom; formation energy from raw total energies = -2.321 eV per atom; density = 6571 kg/m³; symmetry = C2/m, No. 12
1.0
3.078 0.000 0.000
-1.539 5.229 -0.006
0.000 -2.479 8.766
N Zr O
5 5 2
direct
0.264 0.527 0.648
0.736 0.473 0.352
0.500 0.000 0.500
0.657 0.314 0.054
0.343 0.686 0.946
0.113 0.225 0.423
0.702 0.403 0.808
0.887 0.775 0.577
0.000 0.000 0.000
0.298 0.597 0.192
0.045 0.090 0.787
0.955 0.910 0.213

Record 2
Zr7N2O11 meta-GGA SCAN single point on PBEsol structure; VASP energy = -18.52 eV/atom; formation energy from raw total energies = -3.423 eV per atom; density = 6046 kg/m³; symmetry = P1, No. 1
1.0
8.044 0.011 0.047
2.411 7.681 0.027
2.418 1.725 7.511
O Zr N
22 14 4
direct
0.381 0.271 0.690
0.319 0.595 0.712
0.518 0.047 0.319
0.514 0.958 0.645
0.648 0.639 0.649
0.909 0.775 0.148
0.282 0.696 0.397
0.882 0.048 0.263
0.038 0.290 0.555
0.045 0.256 0.898
0.598 0.844 0.970
0.605 0.704 0.320
0.965 0.664 0.482
0.669 0.501 0.968
0.976 0.606 0.835
0.177 0.029 0.393
0.684 0.374 0.281
0.348 0.502 0.029
0.840 0.970 0.608
0.348 0.378 0.361
0.705 0.322 0.596
0.394 0.167 0.027
0.398 0.903 0.203
0.838 0.413 0.740
0.609 0.092 0.789
0.481 0.480 0.487
0.919 0.220 0.387
0.090 0.790 0.614
0.002 0.006 0.997
0.793 0.597 0.098
0.203 0.396 0.918
0.554 0.290 0.123
0.412 0.744 0.839
0.144 0.606 0.248
0.730 0.848 0.438
0.292 0.128 0.542
0.749 0.169 0.922
0.173 0.925 0.751
0.026 0.422 0.181
0.242 0.835 0.077

Record 3
OsPbSe2N meta-GGA SCAN single point on PBEsol structure; VASP energy = -39.24 eV/atom; formation energy from raw total energies = 0.177 eV per atom; density = 9644 kg/m³; symmetry = P4/mmm, No. 123
1.0
-3.047 1.289 1.654
-2.905 -2.978 -3.033
0.275 -3.797 3.466
Pb N Os Se
1 1 1 2
direct
0.500 0.500 0.500
0.500 0.000 0.000
0.000 0.000 0.000
0.000 0.500 0.000
0.000 0.000 0.500

Record 4
OsPd3N meta-GGA SCAN single point on PBEsol structure; VASP energy = -35.05 eV/atom; formation energy from raw total energies = 0.850 eV per atom; density = 13113 kg/m³; symmetry = Pm-3m, No. 221
1.0
-0.385 0.421 4.007
-0.456 -4.004 0.377
4.003 -0.416 0.428
Pd N Os
3 1 1
direct
0.500 0.000 0.000
0.000 0.000 0.500
0.000 0.500 0.000
0.000 0.000 0.000
0.500 0.500 0.500

Record 5
OsPdN2 meta-GGA SCAN single point on PBEsol structure; VASP energy = -30.26 eV/atom; formation energy from raw total energies = 0.548 eV per atom; density = 12198 kg/m³; symmetry = R-3m, No. 166
1.0
-1.631 -1.443 -1.777
0.430 -2.751 -0.382
-4.496 -2.708 4.103
N Os Pd
2 1 1
direct
0.101 0.101 0.696
0.899 0.899 0.304
0.500 0.500 0.500
0.000 0.000 0.000

Record 6
TeOsPdN2 meta-GGA SCAN single point on PBEsol structure; VASP energy = -31.53 eV/atom; formation energy from raw total energies = 0.568 eV per atom; density = 9191 kg/m³; symmetry = P4/mmm, No. 123
1.0
3.755 0.000 0.000
0.000 3.755 0.000
0.000 0.000 5.795
Te N Os Pd
1 2 1 1
direct
0.000 0.000 0.500
0.000 0.500 0.000
0.500 0.000 0.000
0.000 0.000 0.000
0.500 0.500 0.500

Record 7
Os2Pt2N meta-GGA SCAN single point on PBEsol structure; VASP energy = -57.05 eV/atom; formation energy from raw total energies = 1.637 eV per atom; density = 16840 kg/m³; symmetry = I4/mmm, No. 139
1.0
3.533 0.000 0.000
0.000 3.533 0.000
-1.767 -1.767 6.197
Os Pt N
2 2 1
direct
0.406 0.406 0.812
0.594 0.594 0.188
0.250 0.750 0.500
0.750 0.250 0.500
0.000 0.000 0.000

Record 8
OsPt3N meta-GGA SCAN single point on PBEsol structure; VASP energy = -55.99 eV/atom; formation energy from raw total energies = 2.358 eV per atom; density = 12056 kg/m³; symmetry = Pm-3m, No. 221
1.0
4.773 0.000 0.000
0.000 4.773 0.000
0.000 0.000 4.773
Pt Os N
3 1 1
direct
0.000 0.500 0.000
0.500 0.000 0.000
0.000 0.000 0.500
0.000 0.000 0.000
0.500 0.500 0.500

Record 9
TiOs2PtN meta-GGA SCAN single point on PBEsol structure; VASP energy = -46.12 eV/atom; formation energy from raw total energies = 1.739 eV per atom; density = 12413 kg/m³; symmetry = P4/mmm, No. 123
1.0
3.490 0.000 0.000
0.000 4.943 0.000
0.000 0.000 4.943
Pt Os Ti N
1 2 1 1
direct
0.000 0.000 0.000
0.000 0.000 0.500
0.000 0.500 0.000
0.500 0.500 0.500
0.500 0.000 0.000

Record 10
RbScOsN2 meta-GGA SCAN single point on PBEsol structure; VASP energy = -24.22 eV/atom; formation energy from raw total energies = 0.870 eV per atom; density = 7291 kg/m³; symmetry = P4/mmm, No. 123
1.0
-3.427 0.094 2.010
1.559 -2.386 2.769
1.610 4.019 2.557
N Rb Sc Os
2 1 1 1
direct
0.000 0.500 0.000
0.500 0.000 0.000
0.500 0.500 0.500
0.000 0.000 0.500
0.000 0.000 0.000

Record 11
RbTeOsN2 meta-GGA SCAN single point on PBEsol structure; VASP energy = -26.45 eV/atom; formation energy from raw total energies = 3.244 eV per atom; density = 6167 kg/m³; symmetry = P4/mmm, No. 123
1.0
-0.565 3.294 2.513
-3.075 1.366 -2.482
-4.411 -3.469 3.556
Rb Te N Os
1 1 2 1
direct
0.000 0.000 0.000
0.000 0.000 0.500
0.000 0.500 0.000
0.500 0.000 0.000
0.500 0.500 0.500

Record 12
RbTeOsN2 meta-GGA SCAN single point on PBEsol structure; VASP energy = -28.74 eV/atom; formation energy from raw total energies = 0.950 eV per atom; density = 7870 kg/m³; symmetry = P4/mmm, No. 123
1.0
4.055 0.000 0.000
0.000 4.055 0.000
0.000 0.000 5.533
Os N Rb Te
1 2 1 1
direct
0.000 0.000 0.000
0.000 0.500 0.000
0.500 0.000 0.000
0.500 0.500 0.500
0.000 0.000 0.500

Record 13
ReSnOsN2 meta-GGA SCAN single point on PBEsol structure; VASP energy = -36.83 eV/atom; formation energy from raw total energies = 2.671 eV per atom; density = 10320 kg/m³; symmetry = P4/mmm, No. 123
1.0
3.846 0.000 0.000
0.000 3.846 0.000
0.000 0.000 5.691
Sn Os Re N
1 1 1 2
direct
0.000 0.000 0.000
0.500 0.500 0.500
0.000 0.000 0.500
0.000 0.500 0.000
0.500 0.000 0.000

Record 14
SrOsRh2N meta-GGA SCAN single point on PBEsol structure; VASP energy = -33.48 eV/atom; formation energy from raw total energies = 0.713 eV per atom; density = 10876 kg/m³; symmetry = P4/mmm, No. 123
1.0
4.000 0.000 0.000
0.000 4.000 0.000
0.000 0.000 4.749
Rh N Sr Os
2 1 1 1
direct
0.500 0.000 0.000
0.000 0.500 0.000
0.000 0.000 0.000
0.000 0.000 0.500
0.500 0.500 0.500

Record 15
Tc2OsRhN meta-GGA SCAN single point on PBEsol structure; VASP energy = -34.95 eV/atom; formation energy from raw total energies = 2.065 eV per atom; density = 10761 kg/m³; symmetry = P4/mmm, No. 123
1.0
-0.913 -2.884 -1.640
2.350 -2.578 3.224
-3.931 -0.265 2.653
Rh Tc N Os
1 2 1 1
direct
0.000 0.000 0.000
0.000 0.000 0.500
0.000 0.500 0.000
0.500 0.000 0.000
0.500 0.500 0.500

Record 16
Te2OsRhN meta-GGA SCAN single point on PBEsol structure; VASP energy = -37.29 eV/atom; formation energy from raw total energies = 0.596 eV per atom; density = 9452 kg/m³; symmetry = P4/mmm, No. 123
1.0
-0.383 -2.693 -2.344
-1.574 -3.155 3.883
-4.972 1.441 -0.844
Te Os Rh N
2 1 1 1
direct
0.000 0.500 0.000
0.000 0.000 0.500
0.000 0.000 0.000
0.500 0.500 0.500
0.500 0.000 0.000

Record 17
OsRuN3 meta-GGA SCAN single point on PBEsol structure; VASP energy = -24.93 eV/atom; formation energy from raw total energies = 1.986 eV per atom; density = 10304 kg/m³; symmetry = Pm-3m, No. 221
1.0
3.773 0.000 0.000
0.000 3.773 0.000
0.000 0.000 3.773
N Ru Os
3 1 1
direct
0.000 0.500 0.000
0.000 0.000 0.500
0.500 0.000 0.000
0.000 0.000 0.000
0.500 0.500 0.500

Record 18
OsRuSe2N meta-GGA SCAN single point on PBEsol structure; VASP energy = -30.06 eV/atom; formation energy from raw total energies = 1.173 eV per atom; density = 9259 kg/m³; symmetry = P4/mmm, No. 123
1.0
-0.852 2.372 2.441
-4.340 -2.129 0.554
1.855 -2.885 3.451
N Se Os Ru
1 2 1 1
direct
0.500 0.000 0.000
0.000 0.500 0.000
0.000 0.000 0.500
0.500 0.500 0.500
0.000 0.000 0.000

Record 19
Te2OsRuN meta-GGA SCAN single point on PBEsol structure; VASP energy = -37.10 eV/atom; formation energy from raw total energies = 0.996 eV per atom; density = 9910 kg/m³; symmetry = P4/mmm, No. 123
1.0
-2.916 0.780 1.820
2.558 -0.755 4.420
1.368 4.978 0.058
Os Te Ru N
1 2 1 1
direct
0.500 0.500 0.500
0.000 0.500 0.000
0.000 0.000 0.500
0.000 0.000 0.000
0.500 0.000 0.000

Record 20
OsS2N2 meta-GGA SCAN single point on PBEsol structure; VASP energy = -20.41 eV/atom; formation energy from raw total energies = 1.529 eV per atom; density = 5859 kg/m³; symmetry = P4/mmm, No. 123
1.0
-1.114 -2.167 2.734
-0.715 -3.475 -3.044
4.396 -1.459 0.634
S Os N
2 1 2
direct
0.000 0.000 0.500
0.000 0.500 0.000
0.000 0.000 0.000
0.500 0.000 0.000
0.500 0.500 0.500